1.
Material: Sr6FeC2N7
Method: DFT, PBE
State: optimized geometry

```
Sr6FeC2N7
1.0
9.9053 0.0000 0.0000
0.0000 14.7275 0.0000
0.0000 0.0000 3.8170
Sr Fe C N
12 2 4 14
Cartesian
0.6977 1.6228 0.2214
0.9718 9.8199 1.9459
2.4269 13.8824 2.1235
2.5258 6.5187 1.6935
3.9808 2.4561 1.8711
4.2550 8.9866 3.5956
5.6503 5.7409 3.5956
5.9245 12.2713 1.8711
7.3795 8.2087 1.6935
7.4785 0.8450 2.1235
8.9335 4.9076 1.9459
9.2077 13.1046 0.2214
0.0000 7.3637 3.7367
4.9527 0.0000 0.0802
2.2314 4.1348 3.1333
2.7213 11.4985 0.6837
7.1841 3.2289 0.6837
7.6739 10.5927 3.1333
0.0000 0.0000 2.1537
1.2990 3.7027 2.4396
1.6670 8.1787 3.7223
1.6970 11.9021 0.1049
3.2557 4.5384 3.7121
3.2857 0.8150 0.0946
3.6537 11.0664 1.3773
4.9527 7.3637 1.6633
6.2516 3.6611 1.3773
6.6197 13.9125 0.0946
6.6497 10.1891 3.7121
8.2083 2.8253 0.1049
8.2383 6.5488 3.7223
8.6064 11.0248 2.4396
```

VASP energy (eV per atom): -6.634
Symmetry: No. 18

***

2.
Material: Ta8Fe2C3N3
Method: DFT, PBE
State: optimized geometry

```
Ta8Fe2C3N3
1.0
3.1003 0.0000 0.0000
-1.5501 2.6849 0.0000
0.0000 0.0000 23.2450
Ta Fe C N
8 2 3 3
Cartesian
0.0000 0.0000 3.8800
0.0000 0.0000 7.7381
0.0000 0.0000 15.5068
0.0000 0.0000 19.3650
0.0000 1.7899 1.3376
0.0000 1.7899 10.3116
1.5501 0.8950 12.9334
1.5501 0.8950 21.9074
0.0000 1.7899 5.8980
1.5501 0.8950 17.3469
0.0000 0.0000 0.0000
0.0000 1.7899 20.5964
1.5501 0.8950 2.6486
0.0000 0.0000 11.6225
0.0000 1.7899 14.2298
1.5501 0.8950 9.0152
```

VASP energy (eV per atom): -10.773
Symmetry: No. 164

***

3.
Material: Ta4Fe2CN
Method: DFT, PBE
State: optimized geometry

```
Ta4Fe2CN
1.0
3.0643 0.0000 0.0000
-1.5322 2.6538 0.0000
0.0000 0.0000 13.1309
Ta Fe C N
4 2 1 1
Cartesian
0.0000 1.7692 1.2849
0.0000 1.7692 5.2768
1.5322 0.8846 7.8541
1.5322 0.8846 11.8459
0.0000 1.7692 9.8192
1.5322 0.8846 3.3117
0.0000 0.0000 0.0000
0.0000 0.0000 6.5654
```

VASP energy (eV per atom): -10.530
Symmetry: No. 164

***

4.
Material: Tl4FeC6N6
Method: DFT, PBE
State: optimized geometry

```
Tl4FeC6N6
1.0
7.2201 0.0000 0.0000
-1.0674 7.5492 0.0000
-0.1973 -3.5866 12.7264
Tl Fe C N
8 2 12 12
Cartesian
0.4130 3.0178 1.7921
0.6401 4.9577 7.1908
1.8457 -2.9876 11.6707
1.8594 1.2710 8.3117
4.0959 2.6916 4.4147
4.1097 6.9503 1.0558
5.3153 -0.9950 5.5357
5.5424 0.9449 10.9343
0.5228 6.6522 3.1610
5.4325 -2.6895 9.5654
0.1011 0.2236 3.2572
-0.4384 5.2642 3.9697
0.0357 6.1287 1.4331
2.1276 -0.3584 4.8626
2.5012 0.5124 2.3221
2.0638 5.5752 3.1505
3.8915 -1.6125 9.5759
3.4541 3.4503 10.4043
3.8278 4.3210 7.8638
5.9197 -2.1660 11.2934
6.3938 -1.3015 8.7567
5.8542 3.7391 9.4692
-0.2408 -0.4495 8.1735
-0.4316 3.0030 9.4520
-0.2587 5.8757 0.3099
2.5220 -0.1202 5.9573
2.8924 -0.9746 9.5235
3.0181 1.3940 1.7135
2.9373 2.5687 11.0130
3.0630 4.9373 3.2029
3.4334 4.0829 6.7692
6.2141 -1.9131 12.4165
6.3869 0.9597 3.2745
6.1962 4.4122 4.5530
```

VASP energy (eV per atom): -7.053
Symmetry: No. 2

***

5.
Material: Fe2W4CN
Method: DFT, PBE
State: optimized geometry

```
Fe2W4CN
1.0
2.9268 0.0000 0.0000
-1.4634 2.5347 0.0000
0.0000 0.0000 13.5303
Fe W C N
2 4 1 1
Cartesian
0.0000 1.6898 3.4403
1.4634 0.8449 10.0900
0.0000 1.6898 8.0219
0.0000 1.6898 12.1664
1.4634 0.8449 1.3639
1.4634 0.8449 5.5085
0.0000 0.0000 6.7652
0.0000 0.0000 0.0000
```

VASP energy (eV per atom): -10.512
Symmetry: No. 164

***

6.
Material: FeW3CN
Method: DFT, PBE
State: optimized geometry

```
FeW3CN
1.0
2.9306 0.0000 0.0000
-1.4653 2.5380 0.0000
0.0000 0.0000 19.0906
Fe W C N
2 6 2 2
Cartesian
0.0000 0.0000 4.7014
0.0000 0.0000 14.3892
0.0000 0.0000 0.0000
0.0000 0.0000 9.5453
0.0000 1.6920 12.3610
0.0000 1.6920 16.4856
1.4653 0.8460 2.6050
1.4653 0.8460 6.7296
0.0000 1.6920 1.3572
1.4653 0.8460 17.7334
0.0000 1.6920 8.0987
1.4653 0.8460 10.9919
```

VASP energy (eV per atom): -10.510
Symmetry: No. 164

***

7.
Material: Y8Fe2C3N3
Method: DFT, PBE
State: optimized geometry

```
Y8Fe2C3N3
1.0
3.5009 0.0000 0.0000
-1.7505 3.0319 0.0000
0.0000 0.0000 26.0954
Y Fe C N
8 2 3 3
Cartesian
0.0000 0.0000 4.1866
0.0000 0.0000 8.6783
0.0000 0.0000 17.4171
0.0000 0.0000 21.9088
0.0000 2.0213 14.5487
0.0000 2.0213 24.7024
1.7505 1.0106 1.3930
1.7505 1.0106 11.5468
0.0000 2.0213 19.7227
1.7505 1.0106 6.3727
0.0000 0.0000 13.0477
0.0000 2.0213 9.9428
1.7505 1.0106 16.1527
0.0000 0.0000 0.0000
0.0000 2.0213 2.8584
1.7505 1.0106 23.2370
```

VASP energy (eV per atom): -8.081
Symmetry: No. 164

***

8.
Material: Y4Fe2CN
Method: DFT, PBE
State: optimized geometry

```
Y4Fe2CN
1.0
3.4998 0.0000 0.0000
-1.7499 3.0310 0.0000
0.0000 0.0000 14.2312
Y Fe C N
4 2 1 1
Cartesian
0.0000 2.0206 1.3920
0.0000 2.0206 5.7297
1.7499 1.0103 8.5016
1.7499 1.0103 12.8392
0.0000 2.0206 10.6411
1.7499 1.0103 3.5901
0.0000 0.0000 0.0000
0.0000 0.0000 7.1156
```

VASP energy (eV per atom): -7.665
Symmetry: No. 164

***

9.
Material: Zn3Fe2C12N12
Method: DFT, PBE
State: optimized geometry

```
Zn3Fe2C12N12
1.0
6.2425 3.6041 10.7995
-6.2425 3.6041 10.7995
0.0000 -7.2082 10.7995
Zn Fe C N
6 4 24 24
Cartesian
-4.4394 -0.4811 13.4994
-1.8031 -4.0852 18.8991
2.6363 -3.6041 13.4994
-2.6363 3.6041 18.8991
1.8031 4.0852 13.4994
4.4394 0.4811 18.8991
0.0000 0.0000 4.7314
0.0000 0.0000 11.4678
0.0000 0.0000 20.9307
0.0000 0.0000 27.6671
-4.6881 -3.7704 17.9089
-0.8954 -1.2306 5.8443
-5.6093 2.1748 14.4896
-0.6180 1.3907 5.8443
-0.6180 -1.3907 10.3549
0.9212 -5.9452 14.4896
-1.5544 -0.1663 12.5091
1.5134 -0.1602 5.8443
-0.8954 1.2306 10.3549
0.9212 -1.2629 12.5091
1.5134 0.1602 10.3549
-0.6331 -1.4293 19.8894
0.6331 1.4293 12.5091
-1.5134 -0.1601 22.0436
-0.9212 1.2629 19.8894
0.8954 -1.2306 22.0436
-1.5134 0.1601 26.5542
1.5544 0.1663 19.8894
-0.9212 5.9452 17.9089
0.6180 1.3907 22.0436
0.6180 -1.3907 26.5542
5.6093 -2.1748 17.9089
0.8954 1.2306 26.5542
4.6881 3.7704 14.4896
-4.8112 -1.6298 15.0283
-5.2049 1.2511 13.8979
-3.6859 -3.8821 18.5005
-0.9941 -2.2267 9.6286
-2.5565 -0.2780 13.1008
-0.9941 -4.9815 17.3702
-1.4313 1.9743 9.6286
1.5190 -5.1331 13.8980
-3.8171 3.3517 17.3702
-1.0375 -2.3530 19.2977
1.5190 -2.0750 13.1008
-2.4254 -0.2524 22.7699
2.4254 0.2524 9.6286
-1.5190 2.0750 19.2977
1.0375 2.3530 13.1008
3.8171 -3.3517 15.0283
-1.5190 5.1332 18.5005
1.4313 -1.9743 22.7699
0.9941 4.9815 15.0283
2.5565 0.2780 19.2977
0.9941 2.2267 22.7699
3.6859 3.8821 13.8979
5.2049 -1.2511 18.5005
4.8112 1.6298 17.3702
```

VASP energy (eV per atom): -7.732
Symmetry: No. 167

***

10.
Material: Zr3FeCN
Method: DFT, PBE
State: optimized geometry

```
Zr3FeCN
1.0
3.2685 0.0000 0.0000
-1.6342 2.8306 0.0000
0.0000 0.0000 18.6375
Zr Fe C N
6 2 2 2
Cartesian
0.0000 0.0000 0.0000
0.0000 0.0000 9.3187
0.0000 1.8871 2.6853
0.0000 1.8871 6.6183
1.6342 0.9435 12.0191
1.6342 0.9435 15.9522
0.0000 0.0000 4.5970
0.0000 0.0000 14.0404
0.0000 1.8871 10.7270
1.6342 0.9435 7.9105
0.0000 1.8871 17.3127
1.6342 0.9435 1.3248
```

VASP energy (eV per atom): -9.329
Symmetry: No. 164

***

11.
Material: Zr8Fe2C3N3
Method: DFT, PBE
State: optimized geometry

```
Zr8Fe2C3N3
1.0
3.2810 0.0000 0.0000
-1.6405 2.8414 0.0000
0.0000 0.0000 23.9347
Zr Fe C N
8 2 3 3
Cartesian
0.0000 0.0000 4.0052
0.0000 0.0000 7.9171
0.0000 0.0000 16.0176
0.0000 0.0000 19.9295
0.0000 1.8943 13.3072
0.0000 1.8943 22.5889
1.6405 0.9471 1.3459
1.6405 0.9471 10.6275
0.0000 1.8943 18.0200
1.6405 0.9471 5.9148
0.0000 0.0000 11.9674
0.0000 1.8943 9.1795
1.6405 0.9471 14.7552
0.0000 0.0000 0.0000
0.0000 1.8943 2.6490
1.6405 0.9471 21.2857
```

VASP energy (eV per atom): -9.473
Symmetry: No. 164

***

12.
Material: Na2Fe2C
Method: DFT, PBE
State: optimized geometry

```
Na2Fe2C
1.0
2.8126 0.0000 0.0000
0.0000 9.7259 0.0000
0.0000 0.0000 5.0637
Na Fe C
4 4 2
Cartesian
0.0627 1.2560 0.0000
1.3436 6.1189 0.0000
1.4690 3.6070 0.0000
2.7499 8.4699 0.0000
0.0057 3.5873 2.5319
1.4006 8.4502 2.5319
1.4120 1.2757 2.5319
2.8069 6.1386 2.5319
0.0000 0.0000 2.5319
1.4063 4.8629 2.5319
```

VASP energy (eV per atom): -5.236
Symmetry: No. 55